! Co2WSe (PBE, optimized geometry); values from VASP
! formation energy from raw total energies	301.2	meV per atom
! E_tot	-7.361	eV/atom
! spin magnetization	0.15	μB per formula unit
&SYSTEM
  ibrav = 0, nat = 4, ntyp = 3
/
ATOMIC_SPECIES
Co 58.93 Co.upf
W 183.84 W.upf
Se 78.96 Se.upf
CELL_PARAMETERS angstrom
-1.830 2.457 -0.098
-2.412 -1.817 -0.527
-0.894 -0.442 5.614
ATOMIC_POSITIONS angstrom
Co -2.342 0.211 1.078
Co -0.011 -0.006 0.071
W -2.822 -0.026 4.090
Se -0.407 -0.202 2.558

***

! TlAsAu3 (PBE, optimized geometry); values from VASP
! E_tot	-2.346	eV/atom
! E above lowest polymorph	1.001	eV/atom
! spin magnetization	0.79	μB per formula unit
&SYSTEM
  ibrav = 0, nat = 5, ntyp = 3
/
ATOMIC_SPECIES
Tl 204.38 Tl.upf
As 74.92 As.upf
Au 196.97 Au.upf
CELL_PARAMETERS angstrom
-1.818 4.022 -2.824
-1.145 -3.275 -3.927
-4.779 -0.746 2.016
ATOMIC_POSITIONS angstrom
Tl 0.000 0.000 0.000
As -3.871 0.000 -2.368
Au -2.389 -0.373 1.008
Au -0.909 2.011 -1.412
Au -0.573 -1.638 -1.963

***

Computed volume (A^3/atom) in order:
13.4 28.8